[1]
Entry from Alexandria: Zn2HgAu2 at its PBEsol-relaxed geometry (meta-GGA SCAN).

```
data_Zn2HgAu2
_chemical_formula_sum 'Zn4 Hg2 Au4'
_space_group_name_H-M_alt 'P 1'
_space_group_IT_number 1
_cell_length_a 7.496
_cell_length_b 7.496
_cell_length_c 3.013
_cell_angle_alpha 90.00
_cell_angle_beta 90.00
_cell_angle_gamma 90.00
loop_
_space_group_symop_operation_xyz
'x,y,z'
loop_
_atom_site_label
_atom_site_type_symbol
_atom_site_fract_x
_atom_site_fract_y
_atom_site_fract_z
Zn1 Zn 0.157 0.343 0.000
Zn2 Zn 0.343 0.843 0.000
Zn3 Zn 0.657 0.157 0.000
Zn4 Zn 0.843 0.657 0.000
Hg1 Hg 0.000 0.000 0.500
Hg2 Hg 0.500 0.500 0.500
Au1 Au 0.141 0.641 0.500
Au2 Au 0.359 0.141 0.500
Au3 Au 0.641 0.859 0.500
Au4 Au 0.859 0.359 0.500
```

Summary:
**Energy**: -468.60 eV for the cell shown
**Mass density**: 14.2 g cm⁻³
**Formation energy**: -15.3 kJ/mol of atoms
**Space group**: P4/mbm, No. 127
**D(E_F)**: 1.061 states/eV/f.u.
**Relative energy among the computed polymorphs**: 0 meV per atom

=====

[2]
Entry from Alexandria: RbP2CCl at its PBEsol-relaxed geometry (meta-GGA SCAN).

```
data_RbP2CCl
_chemical_formula_sum 'Rb1 P2 C1 Cl1'
_space_group_name_H-M_alt 'P 1'
_space_group_IT_number 1
_cell_length_a 4.007
_cell_length_b 4.007
_cell_length_c 7.466
_cell_angle_alpha 90.00
_cell_angle_beta 90.00
_cell_angle_gamma 90.00
loop_
_space_group_symop_operation_xyz
'x,y,z'
loop_
_atom_site_label
_atom_site_type_symbol
_atom_site_fract_x
_atom_site_fract_y
_atom_site_fract_z
Rb1 Rb 0.000 0.000 0.000
P1 P 0.000 0.500 0.500
P2 P 0.500 0.000 0.500
C1 C 0.500 0.500 0.500
Cl1 Cl 0.500 0.500 0.000
```

Summary:
**Energy**: -56.91 eV for the cell shown
**Mass density**: 2.7 g cm⁻³
**Space group**: P4/mmm, No. 123
**D(E_F)**: 2.615 states/eV/f.u.

=====

[3]
Entry from Alexandria: LiScPb at its PBEsol-relaxed geometry (meta-GGA SCAN).

```
data_LiScPb
_chemical_formula_sum 'Li2 Sc2 Pb2'
_space_group_name_H-M_alt 'P 1'
_space_group_IT_number 1
_cell_length_a 4.606
_cell_length_b 4.606
_cell_length_c 6.631
_cell_angle_alpha 90.00
_cell_angle_beta 90.00
_cell_angle_gamma 120.00
loop_
_space_group_symop_operation_xyz
'x,y,z'
loop_
_atom_site_label
_atom_site_type_symbol
_atom_site_fract_x
_atom_site_fract_y
_atom_site_fract_z
Li1 Li 0.333 0.667 0.250
Li2 Li 0.667 0.333 0.750
Sc1 Sc 0.000 0.000 0.000
Sc2 Sc 0.000 0.000 0.500
Pb1 Pb 0.333 0.667 0.750
Pb2 Pb 0.667 0.333 0.250
```

Summary:
**Energy**: -188.63 eV for the cell shown
**Mass density**: 7.1 g cm⁻³
**Formation energy**: -61.3 kJ/mol of atoms
**Space group**: P6_3/mmc, No. 194
**D(E_F)**: 0.832 states/eV/f.u.

=====

[4]
Entry from Alexandria: La2Ta at its PBEsol-relaxed geometry (meta-GGA SCAN).

```
data_La2Ta
_chemical_formula_sum 'La2 Ta1'
_space_group_name_H-M_alt 'P 1'
_space_group_IT_number 1
_cell_length_a 5.350
_cell_length_b 5.350
_cell_length_c 3.073
_cell_angle_alpha 90.00
_cell_angle_beta 90.00
_cell_angle_gamma 120.00
loop_
_space_group_symop_operation_xyz
'x,y,z'
loop_
_atom_site_label
_atom_site_type_symbol
_atom_site_fract_x
_atom_site_fract_y
_atom_site_fract_z
La1 La 0.333 0.667 0.000
La2 La 0.667 0.333 0.000
Ta1 Ta 0.000 0.000 0.500
```

Summary:
**Energy**: -151.16 eV for the cell shown
**Mass density**: 10.0 g cm⁻³
**Formation energy**: 52.5 kJ/mol of atoms
**Space group**: P6/mmm, No. 191
**D(E_F)**: 5.731 states/eV/f.u.
**Relative energy among the computed polymorphs**: 150 meV per atom

=====

[5]
Entry from Alexandria: SrFeTe at its PBEsol-relaxed geometry (meta-GGA SCAN).

```
data_SrFeTe
_chemical_formula_sum 'Sr1 Fe1 Te1'
_space_group_name_H-M_alt 'P 1'
_space_group_IT_number 1
_cell_length_a 4.638
_cell_length_b 4.638
_cell_length_c 4.638
_cell_angle_alpha 60.00
_cell_angle_beta 60.00
_cell_angle_gamma 60.00
loop_
_space_group_symop_operation_xyz
'x,y,z'
loop_
_atom_site_label
_atom_site_type_symbol
_atom_site_fract_x
_atom_site_fract_y
_atom_site_fract_z
Sr1 Sr 0.000 0.000 0.000
Fe1 Fe 0.750 0.750 0.750
Te1 Te 0.500 0.500 0.500
```

Summary:
**Energy**: -78.01 eV for the cell shown
**Mass density**: 6.4 g cm⁻³
**Space group**: F-43m, No. 216
**D(E_F)**: 2.292 states/eV/f.u.

=====

[6]
Entry from Alexandria: MnSiI3 at its PBEsol-relaxed geometry (meta-GGA SCAN).

```
data_MnSiI3
_chemical_formula_sum 'Mn1 Si1 I3'
_space_group_name_H-M_alt 'P 1'
_space_group_IT_number 1
_cell_length_a 5.398
_cell_length_b 5.398
_cell_length_c 5.398
_cell_angle_alpha 90.00
_cell_angle_beta 90.00
_cell_angle_gamma 90.00
loop_
_space_group_symop_operation_xyz
'x,y,z'
loop_
_atom_site_label
_atom_site_type_symbol
_atom_site_fract_x
_atom_site_fract_y
_atom_site_fract_z
Mn1 Mn 0.000 0.000 0.000
Si1 Si 0.500 0.500 0.500
I1 I 0.000 0.000 0.500
I2 I 0.000 0.500 0.000
I3 I 0.500 0.000 0.000
```

Summary:
**Energy**: -136.86 eV for the cell shown
**Mass density**: 4.9 g cm⁻³
**Space group**: Pm-3m, No. 221
**D(E_F)**: 1.761 states/eV/f.u.

=====

[7]
Entry from Alexandria: YTlIn2 at its PBEsol-relaxed geometry (meta-GGA SCAN).

```
data_YTlIn2
_chemical_formula_sum 'Y1 Tl1 In2'
_space_group_name_H-M_alt 'P 1'
_space_group_IT_number 1
_cell_length_a 5.396
_cell_length_b 5.396
_cell_length_c 3.647
_cell_angle_alpha 90.00
_cell_angle_beta 90.00
_cell_angle_gamma 106.86
loop_
_space_group_symop_operation_xyz
'x,y,z'
loop_
_atom_site_label
_atom_site_type_symbol
_atom_site_fract_x
_atom_site_fract_y
_atom_site_fract_z
Y1 Y 0.000 0.000 0.000
Tl1 Tl 0.500 0.500 0.000
In1 In 0.000 0.500 0.500
In2 In 0.500 0.000 0.500
```

Summary:
**Energy**: -168.45 eV for the cell shown
**Mass density**: 8.5 g cm⁻³
**Formation energy**: -35.6 kJ/mol of atoms
**Space group**: Cmmm, No. 65
**D(E_F)**: 1.619 states/eV/f.u.

=====

[8]
Entry from Alexandria: FeMoW at its PBEsol-relaxed geometry (meta-GGA SCAN).

```
data_FeMoW
_chemical_formula_sum 'Fe1 Mo1 W1'
_space_group_name_H-M_alt 'P 1'
_space_group_IT_number 1
_cell_length_a 4.351
_cell_length_b 4.351
_cell_length_c 2.595
_cell_angle_alpha 90.00
_cell_angle_beta 90.00
_cell_angle_gamma 120.00
loop_
_space_group_symop_operation_xyz
'x,y,z'
loop_
_atom_site_label
_atom_site_type_symbol
_atom_site_fract_x
_atom_site_fract_y
_atom_site_fract_z
Fe1 Fe 0.000 0.000 0.000
Mo1 Mo 0.667 0.333 0.340
W1 W 0.333 0.667 0.678
```

Summary:
**Energy**: -122.31 eV for the cell shown
**Mass density**: 13.1 g cm⁻³
**Formation energy**: 12.8 kJ/mol of atoms
**Space group**: P3m1, No. 156
**D(E_F)**: 1.767 states/eV/f.u.
**Relative energy among the computed polymorphs**: 0 meV per atom

=====

[9]
Entry from Alexandria: YTa2Mn at its PBEsol-relaxed geometry (meta-GGA SCAN).

```
data_YTa2Mn
_chemical_formula_sum 'Y1 Ta2 Mn1'
_space_group_name_H-M_alt 'P 1'
_space_group_IT_number 1
_cell_length_a 5.361
_cell_length_b 5.361
_cell_length_c 4.950
_cell_angle_alpha 113.37
_cell_angle_beta 113.37
_cell_angle_gamma 34.60
loop_
_space_group_symop_operation_xyz
'x,y,z'
loop_
_atom_site_label
_atom_site_type_symbol
_atom_site_fract_x
_atom_site_fract_y
_atom_site_fract_z
Y1 Y 0.000 0.000 0.000
Ta1 Ta 0.215 0.215 0.692
Ta2 Ta 0.440 0.440 0.445
Mn1 Mn 0.742 0.742 0.322
```

Summary:
**Energy**: -177.67 eV for the cell shown
**Mass density**: 11.4 g cm⁻³
**Formation energy**: 38.4 kJ/mol of atoms
**Space group**: Cm, No. 8
**D(E_F)**: 3.678 states/eV/f.u.
**Relative energy among the computed polymorphs**: 54 meV per atom

=====

[10]
Entry from Alexandria: InW2Br at its PBEsol-relaxed geometry (meta-GGA SCAN).

```
data_InW2Br
_chemical_formula_sum 'In1 W2 Br1'
_space_group_name_H-M_alt 'P 1'
_space_group_IT_number 1
_cell_length_a 3.319
_cell_length_b 4.927
_cell_length_c 5.223
_cell_angle_alpha 90.00
_cell_angle_beta 96.24
_cell_angle_gamma 90.00
loop_
_space_group_symop_operation_xyz
'x,y,z'
loop_
_atom_site_label
_atom_site_type_symbol
_atom_site_fract_x
_atom_site_fract_y
_atom_site_fract_z
In1 In 0.000 0.000 0.000
W1 W 0.297 0.500 0.173
W2 W 0.703 0.500 0.827
Br1 Br 0.500 0.000 0.500
```

Summary:
**Energy**: -188.34 eV for the cell shown
**Mass density**: 11.0 g cm⁻³
**Space group**: P2/m, No. 10
**D(E_F)**: 2.846 states/eV/f.u.
**Relative energy among the computed polymorphs**: 453 meV per atom

=====

[11]
Entry from Alexandria: Tc2NiB2 at its PBEsol-relaxed geometry (meta-GGA SCAN).

```
data_Tc2NiB2
_chemical_formula_sum 'Tc4 Ni2 B4'
_space_group_name_H-M_alt 'P 1'
_space_group_IT_number 1
_cell_length_a 5.435
_cell_length_b 5.435
_cell_length_c 3.274
_cell_angle_alpha 90.00
_cell_angle_beta 90.00
_cell_angle_gamma 90.00
loop_
_space_group_symop_operation_xyz
'x,y,z'
loop_
_atom_site_label
_atom_site_type_symbol
_atom_site_fract_x
_atom_site_fract_y
_atom_site_fract_z
Tc1 Tc 0.179 0.321 0.000
Tc2 Tc 0.321 0.821 0.000
Tc3 Tc 0.679 0.179 0.000
Tc4 Tc 0.821 0.679 0.000
Ni1 Ni 0.000 0.000 0.500
Ni2 Ni 0.500 0.500 0.500
B1 B 0.117 0.617 0.500
B2 B 0.383 0.117 0.500
B3 B 0.617 0.883 0.500
B4 B 0.883 0.383 0.500
```

Summary:
**Energy**: -205.87 eV for the cell shown
**Mass density**: 9.5 g cm⁻³
**Formation energy**: -34.4 kJ/mol of atoms
**Space group**: P4/mbm, No. 127
**D(E_F)**: 2.294 states/eV/f.u.

=====

[12]
Entry from Alexandria: Tl2SbIr at its PBEsol-relaxed geometry (meta-GGA SCAN).

```
data_Tl2SbIr
_chemical_formula_sum 'Tl2 Sb1 Ir1'
_space_group_name_H-M_alt 'P 1'
_space_group_IT_number 1
_cell_length_a 6.158
_cell_length_b 6.158
_cell_length_c 4.043
_cell_angle_alpha 108.45
_cell_angle_beta 108.45
_cell_angle_gamma 125.31
loop_
_space_group_symop_operation_xyz
'x,y,z'
loop_
_atom_site_label
_atom_site_type_symbol
_atom_site_fract_x
_atom_site_fract_y
_atom_site_fract_z
Tl1 Tl 0.000 0.500 0.000
Tl2 Tl 0.500 0.000 0.000
Sb1 Sb 0.000 0.000 0.500
Ir1 Ir 0.500 0.500 0.500
```

Summary:
**Energy**: -250.86 eV for the cell shown
**Mass density**: 13.2 g cm⁻³
**Space group**: C2/m, No. 12
**D(E_F)**: 2.350 states/eV/f.u.
**Relative energy among the computed polymorphs**: 408 meV per atom

=====

Question: mass density of number 5 (SrFeTe)?
Answer: 6.4 g cm⁻³

=====

Question: What is the formula in the fifth record?
Answer: SrFeTe

=====

Question: Which formula does entry 4 have?
Answer: La2Ta

=====

Question: energy of number 4 (La2Ta)?
Answer: -151.16 eV for the cell shown